Record 1
MgTi2In2Pd5 | PBE-GGA | relaxed

## Properties
SG: No. 127
N(E_F): 0.672 states/eV per atom

a = 4.0594 Å, b = 9.4150 Å, c = 9.4150 Å
α = 90.00°, β = 90.00°, γ = 90.00°
With the nearest neighbours (Å) after each atom.
Fractional positions:
Mg1 0.0000 0.0000 0.0000  8 Pd 2.88
Mg2 0.0000 0.5000 0.5000  8 Pd 2.88
Ti1 0.0000 0.1173 0.6173  6 Pd 2.56-2.67, 3 In 2.73-2.83
Ti2 0.0000 0.8827 0.3827  6 Pd 2.56-2.67, 3 In 2.73-2.83
Ti3 0.0000 0.6173 0.8827  6 Pd 2.56-2.67, 3 In 2.73-2.83
Ti4 0.0000 0.3827 0.1173  6 Pd 2.56-2.67, 3 In 2.73-2.83
In1 0.0000 0.6777 0.1777  3 Ti 2.73-2.83, 4 Pd 3.05
In2 0.0000 0.3223 0.8223  3 Ti 2.73-2.83, 4 Pd 3.05
In3 0.0000 0.1777 0.3223  3 Ti 2.73-2.83, 4 Pd 3.05
In4 0.0000 0.8223 0.6777  3 Ti 2.73-2.83, 4 Pd 3.05
Pd1 0.5000 0.2012 0.0812  2 Ti 2.67, 2 Mg 2.88, 4 Pd 2.89-2.91
Pd2 0.5000 0.7988 0.9188  2 Ti 2.67, 2 Mg 2.88, 4 Pd 2.89-2.91
Pd3 0.5000 0.0812 0.7988  2 Ti 2.67, 2 Mg 2.88, 4 Pd 2.89-2.91
Pd4 0.5000 0.7012 0.4188  2 Ti 2.67, 2 Mg 2.88, 4 Pd 2.89-2.91
Pd5 0.5000 0.9188 0.2012  2 Ti 2.67, 2 Mg 2.88, 4 Pd 2.89-2.91
Pd6 0.5000 0.2988 0.5812  2 Ti 2.67, 2 Mg 2.88, 4 Pd 2.89-2.91
Pd7 0.5000 0.5812 0.7012  2 Ti 2.67, 2 Mg 2.88, 4 Pd 2.89-2.91
Pd8 0.5000 0.4188 0.2988  2 Ti 2.67, 2 Mg 2.88, 4 Pd 2.89-2.91
Pd9 0.5000 0.5000 0.0000  4 Ti 2.56
Pd10 0.5000 0.0000 0.5000  4 Ti 2.56


Record 2
MgTiInPd | PBE-GGA | relaxed

## Properties
SG: No. 99
N(E_F): 0.755 states/eV per atom

a = 3.0981 Å, b = 3.0981 Å, c = 7.7328 Å
α = 90.00°, β = 90.00°, γ = 90.00°
With the nearest neighbours (Å) after each atom.
Fractional positions:
Mg1 0.5000 0.5000 0.7817  4 Pd 2.77, 4 Mg 3.10
Ti1 0.5000 0.5000 0.3546  4 Pd 2.72, 4 In 3.02
In1 0.0000 0.0000 0.0850  4 Ti 3.02, 4 In 3.10, 4 Mg 3.21
Pd1 0.0000 0.0000 0.5633  4 Ti 2.72, 4 Mg 2.77


Record 3
Mg5TlIn2Pd2 | PBE-GGA | relaxed

## Properties
SG: No. 127
N(E_F): 0.350 states/eV per atom

a = 4.1381 Å, b = 10.1137 Å, c = 10.1137 Å
α = 90.00°, β = 90.00°, γ = 90.00°
With the nearest neighbours (Å) after each atom.
Fractional positions:
Mg1 0.5000 0.2090 0.0783  2 Pd 2.72
Mg2 0.5000 0.7910 0.9217  2 Pd 2.72
Mg3 0.5000 0.0783 0.7910  2 Pd 2.72
Mg4 0.5000 0.7090 0.4217  2 Pd 2.72
Mg5 0.5000 0.9217 0.2090  2 Pd 2.72
Mg6 0.5000 0.2910 0.5783  2 Pd 2.72
Mg7 0.5000 0.5783 0.7090  2 Pd 2.72
Mg8 0.5000 0.4217 0.2910  2 Pd 2.72
Mg9 0.5000 0.5000 0.0000  4 Pd 2.72
Mg10 0.5000 0.0000 0.5000  4 Pd 2.72
Tl1 0.0000 0.0000 0.0000  8 Mg 3.06
Tl2 0.0000 0.5000 0.5000  8 Mg 3.06
In1 0.0000 0.6714 0.1714  3 Pd 2.94-3.02, 6 Mg 3.21-3.29
In2 0.0000 0.3286 0.8286  3 Pd 2.94-3.02, 6 Mg 3.21-3.29
In3 0.0000 0.1714 0.3286  3 Pd 2.94-3.02, 6 Mg 3.21-3.29
In4 0.0000 0.8286 0.6714  3 Pd 2.94-3.02, 6 Mg 3.21-3.29
Pd1 0.0000 0.1230 0.6230  6 Mg 2.72, 3 In 2.94-3.02
Pd2 0.0000 0.8770 0.3770  6 Mg 2.72, 3 In 2.94-3.02
Pd3 0.0000 0.6230 0.8770  6 Mg 2.72, 3 In 2.94-3.02
Pd4 0.0000 0.3770 0.1230  6 Mg 2.72, 3 In 2.94-3.02


Record 4
Mg2TlInPd | PBE-GGA | relaxed

## Properties
SG: No. 123
N(E_F): 0.495 states/eV per atom

a = 5.0786 Å, b = 5.0786 Å, c = 5.1359 Å
α = 90.00°, β = 90.00°, γ = 90.00°
With the nearest neighbours (Å) after each atom.
Fractional positions:
Tl1 0.5000 0.5000 0.5000  4 In 3.59, 8 Mg 3.61
Mg1 0.0000 0.5000 0.0000  2 Pd 2.54
Mg2 0.5000 0.0000 0.0000  2 Pd 2.54
Pd1 0.0000 0.0000 0.0000  4 Mg 2.54, 2 In 2.57
In1 0.0000 0.0000 0.5000  2 Pd 2.57


Record 5
Tm2MgInPd4 | PBE-GGA | relaxed

## Properties
SG: No. 166
N(E_F): 0.575 states/eV per atom

a = 4.7345 Å, b = 4.7345 Å, c = 8.2685 Å
α = 73.36°, β = 73.36°, γ = 60.00°
With the nearest neighbours (Å) after each atom.
Fractional positions:
Tm1 0.7502 0.7502 0.7495  8 Pd 2.89-2.97
Tm2 0.2498 0.2498 0.2505  8 Pd 2.89-2.97
Mg1 0.0000 0.0000 0.0000  8 Pd 2.88-2.89
In1 0.5000 0.5000 0.5000  8 Pd 2.92-2.96
Pd1 0.3734 0.3734 0.8797  3 Mg 2.89, 4 Tm 2.89-2.92, 1 In 2.96
Pd2 0.8769 0.8769 0.3692  1 Mg 2.88, 4 Tm 2.89-2.97, 3 In 2.92
Pd3 0.1231 0.1231 0.6308  1 Mg 2.88, 4 Tm 2.89-2.97, 3 In 2.92
Pd4 0.6266 0.6266 0.1203  3 Mg 2.89, 4 Tm 2.89-2.92, 1 In 2.96


Record 6
MgZn2In2Pd5 | PBE-GGA | relaxed

## Properties
SG: No. 127
N(E_F): 0.357 states/eV per atom

a = 3.8273 Å, b = 9.4191 Å, c = 9.4191 Å
α = 90.00°, β = 90.00°, γ = 90.00°
With the nearest neighbours (Å) after each atom.
Fractional positions:
Mg1 0.0000 0.0000 0.0000  8 Pd 2.77
Mg2 0.0000 0.5000 0.5000  8 Pd 2.77
Zn1 0.0000 0.1260 0.6260  6 Pd 2.55-2.58, 3 In 2.70-2.83
Zn2 0.0000 0.8740 0.3740  6 Pd 2.55-2.58, 3 In 2.70-2.83
Zn3 0.0000 0.6260 0.8740  6 Pd 2.55-2.58, 3 In 2.70-2.83
Zn4 0.0000 0.3740 0.1260  6 Pd 2.55-2.58, 3 In 2.70-2.83
In1 0.0000 0.6711 0.1711  3 Zn 2.70-2.83, 6 Pd 2.98
In2 0.0000 0.3289 0.8289  3 Zn 2.70-2.83, 6 Pd 2.98
In3 0.0000 0.1711 0.3289  3 Zn 2.70-2.83, 6 Pd 2.98
In4 0.0000 0.8289 0.6711  3 Zn 2.70-2.83, 6 Pd 2.98
Pd1 0.5000 0.1938 0.0877  2 Zn 2.58, 2 Mg 2.77, 2 Pd 2.83
Pd2 0.5000 0.8062 0.9123  2 Zn 2.58, 2 Mg 2.77, 2 Pd 2.83
Pd3 0.5000 0.0877 0.8062  2 Zn 2.58, 2 Mg 2.77, 2 Pd 2.83
Pd4 0.5000 0.6938 0.4123  2 Zn 2.58, 2 Mg 2.77, 2 Pd 2.83
Pd5 0.5000 0.9123 0.1938  2 Zn 2.58, 2 Mg 2.77, 2 Pd 2.83
Pd6 0.5000 0.3062 0.5877  2 Zn 2.58, 2 Mg 2.77, 2 Pd 2.83
Pd7 0.5000 0.5877 0.6938  2 Zn 2.58, 2 Mg 2.77, 2 Pd 2.83
Pd8 0.5000 0.4123 0.3062  2 Zn 2.58, 2 Mg 2.77, 2 Pd 2.83
Pd9 0.5000 0.5000 0.0000  4 Zn 2.55
Pd10 0.5000 0.0000 0.5000  4 Zn 2.55


Record 7
Mg5ZnIn2Pd2 | PBE-GGA | relaxed

## Properties
SG: No. 127
N(E_F): 0.365 states/eV per atom

a = 3.7959 Å, b = 10.3292 Å, c = 10.3292 Å
α = 90.00°, β = 90.00°, γ = 90.00°
With the nearest neighbours (Å) after each atom.
Fractional positions:
Mg1 0.5000 0.2007 0.0715  2 Pd 2.66, 2 Zn 2.91
Mg2 0.5000 0.7993 0.9285  2 Pd 2.66, 2 Zn 2.91
Mg3 0.5000 0.0715 0.7993  2 Pd 2.66, 2 Zn 2.91
Mg4 0.5000 0.7007 0.4285  2 Pd 2.66, 2 Zn 2.91
Mg5 0.5000 0.9285 0.2007  2 Pd 2.66, 2 Zn 2.91
Mg6 0.5000 0.2993 0.5715  2 Pd 2.66, 2 Zn 2.91
Mg7 0.5000 0.5715 0.7007  2 Pd 2.66, 2 Zn 2.91
Mg8 0.5000 0.4285 0.2993  2 Pd 2.66, 2 Zn 2.91
Mg9 0.5000 0.5000 0.0000  4 Pd 2.67
Mg10 0.5000 0.0000 0.5000  4 Pd 2.67
Zn1 0.0000 0.0000 0.0000  8 Mg 2.91
Zn2 0.0000 0.5000 0.5000  8 Mg 2.91
In1 0.0000 0.6707 0.1707  3 Pd 2.94-3.12, 6 Mg 3.13-3.28
In2 0.0000 0.3293 0.8293  3 Pd 2.94-3.12, 6 Mg 3.13-3.28
In3 0.0000 0.1707 0.3293  3 Pd 2.94-3.12, 6 Mg 3.13-3.28
In4 0.0000 0.8293 0.6707  3 Pd 2.94-3.12, 6 Mg 3.13-3.28
Pd1 0.0000 0.1283 0.6283  6 Mg 2.66-2.67, 1 In 2.94
Pd2 0.0000 0.8717 0.3717  6 Mg 2.66-2.67, 1 In 2.94
Pd3 0.0000 0.6283 0.8717  6 Mg 2.66-2.67, 1 In 2.94
Pd4 0.0000 0.3717 0.1283  6 Mg 2.66-2.67, 1 In 2.94


Record 8
Mg2Zn2InPd2 | PBE-GGA | relaxed

## Properties
SG: No. 164
N(E_F): 0.346 states/eV per atom

a = 3.0999 Å, b = 3.0999 Å, c = 15.8333 Å
α = 90.00°, β = 90.00°, γ = 120.00°
With the nearest neighbours (Å) after each atom.
Fractional positions:
Mg1 0.0000 0.0000 0.8101  3 Pd 2.68
Mg2 0.0000 0.0000 0.1899  3 Pd 2.68
Zn1 0.6667 0.3333 0.5635  3 Pd 2.62, 3 Zn 2.69
Zn2 0.3333 0.6667 0.4365  3 Pd 2.62, 3 Zn 2.69
In1 0.0000 0.0000 0.0000  2 Mg 3.01, 6 In 3.10
Pd1 0.6667 0.3333 0.3161  3 Zn 2.62, 3 Mg 2.68
Pd2 0.3333 0.6667 0.6839  3 Zn 2.62, 3 Mg 2.68


Record 9
Mg2ZnIn2Pd4 | PBE-GGA | relaxed

## Properties
SG: No. 139
N(E_F): 0.499 states/eV per atom

a = 6.0487 Å, b = 6.0487 Å, c = 6.0487 Å
α = 96.44°, β = 116.36°, γ = 116.36°
With the nearest neighbours (Å) after each atom.
Fractional positions:
Mg1 0.0000 0.6940 0.6940  1 Zn 2.47, 4 Pd 2.62
Mg2 0.0000 0.3060 0.3060  1 Zn 2.47, 4 Pd 2.62
Zn1 0.0000 0.0000 0.0000  4 Pd 2.40, 2 Mg 2.47
In1 0.5000 0.7500 0.2500  8 Pd 3.03, 4 Mg 3.22
In2 0.5000 0.2500 0.7500  8 Pd 3.03, 4 Mg 3.22
Pd1 0.0000 0.7337 0.2663  1 Zn 2.40, 2 Mg 2.62
Pd2 0.4674 0.7337 0.7337  1 Zn 2.40, 2 Mg 2.62
Pd3 0.0000 0.2663 0.7337  1 Zn 2.40, 2 Mg 2.62
Pd4 0.5326 0.2663 0.2663  1 Zn 2.40, 2 Mg 2.62


Record 10
MgZrIn4Pd2 | PBE-GGA | relaxed

## Properties
SG: No. 123
N(E_F): 0.423 states/eV per atom

a = 4.2178 Å, b = 4.2178 Å, c = 10.5556 Å
α = 90.00°, β = 90.00°, γ = 90.00°
With the nearest neighbours (Å) after each atom.
Fractional positions:
Mg1 0.0000 0.0000 0.5000  8 Pd 3.25
Zr1 0.0000 0.0000 0.0000  8 In 3.04
In1 0.0000 0.5000 0.2079  2 Pd 2.77, 4 In 2.98, 2 Zr 3.04
In2 0.5000 0.0000 0.7921  2 Pd 2.77, 4 In 2.98, 2 Zr 3.04
In3 0.5000 0.0000 0.2079  2 Pd 2.77, 4 In 2.98, 2 Zr 3.04
In4 0.0000 0.5000 0.7921  2 Pd 2.77, 4 In 2.98, 2 Zr 3.04
Pd1 0.5000 0.5000 0.3785  1 Pd 2.56, 4 In 2.77
Pd2 0.5000 0.5000 0.6215  1 Pd 2.56, 4 In 2.77


Record 11
Pm2Mg5In4 | PBE-GGA | relaxed

## Properties
SG: No. 69
N(E_F): 0.553 states/eV per atom

a = 6.2833 Å, b = 5.7556 Å, c = 10.2341 Å
α = 80.35°, β = 72.12°, γ = 56.92°
With the nearest neighbours (Å) after each atom.
Fractional positions:
Pm1 0.8952 0.0000 0.2095  6 In 3.37-3.52, 6 Mg 3.53-3.75
Pm2 0.1048 0.0000 0.7905  6 In 3.37-3.52, 6 Mg 3.53-3.75
Mg1 0.5000 0.0000 0.0000  4 Mg 2.88, 4 In 2.97
Mg2 0.0000 0.5000 0.0000  4 Mg 2.88-3.14, 4 In 3.14
Mg3 0.5000 0.5000 0.0000  4 Mg 2.88-3.14, 4 In 3.14
Mg4 0.2500 0.5000 0.5000  4 In 2.94, 2 Mg 3.14
Mg5 0.7500 0.5000 0.5000  4 In 2.94, 2 Mg 3.14
In1 0.4769 0.3094 0.7368  5 Mg 2.94-3.14, 1 In 2.98
In2 0.5231 0.6906 0.2632  5 Mg 2.94-3.14, 1 In 2.98
In3 0.2137 0.3094 0.2632  5 Mg 2.94-3.14, 1 In 2.98
In4 0.7863 0.6906 0.7368  5 Mg 2.94-3.14, 1 In 2.98


Record 12
PmMg3In2 | PBE-GGA | relaxed

## Properties
SG: No. 12
N(E_F): 0.361 states/eV per atom

a = 4.8150 Å, b = 9.6164 Å, c = 7.6672 Å
α = 118.64°, β = 90.00°, γ = 104.50°
With the nearest neighbours (Å) after each atom.
Fractional positions:
Pm1 0.8832 0.7665 0.9512  7 In 3.34-3.56, 7 Mg 3.39-3.73
Pm2 0.1168 0.2335 0.0488  7 In 3.34-3.56, 7 Mg 3.39-3.73
Mg1 0.3015 0.6029 0.5230  2 In 2.92-2.96, 3 Mg 2.99
Mg2 0.9296 0.8592 0.5567  3 In 2.88-2.99, 3 Mg 3.14-3.16
Mg3 0.6267 0.2533 0.7496  4 In 2.91-3.06, 3 Mg 2.99-3.16
Mg4 0.3733 0.7467 0.2504  4 In 2.91-3.06, 3 Mg 2.99-3.16
Mg5 0.0704 0.1408 0.4433  3 In 2.88-2.99, 3 Mg 3.14-3.16
Mg6 0.6985 0.3971 0.4770  2 In 2.92-2.96, 3 Mg 2.99
In1 0.4802 0.9604 0.7929  4 Mg 2.88-2.92, 1 In 2.88
In2 0.5198 0.0396 0.2071  4 Mg 2.88-2.92, 1 In 2.88
In3 0.7623 0.5245 0.1915  7 Mg 2.96-3.31
In4 0.2377 0.4755 0.8085  7 Mg 2.96-3.31


In eV/f.u., the formation energy from the elements values for the records above are, in order, -3.22; -1.51; -3.11; -0.96; -6.70; -4.31; -2.98; -1.51; -2.92; -0.85; -1.37; -1.48.
In μB/atom, the total moment values for the records above are, in order, 0.00; 0.19; 0.00; 0.00; 0.00; 0.00; 0.00; 0.00; 0.00; 0.00; 0.00; 0.00.